[1]
A relaxed Si2PbAu crystal. Source: Alexandria, functional GGA-PBEsol.

Lattice parameters (Å, degrees): 3.829 4.091 6.240 106.09 90.00 117.91
Fractional coordinates of all 4 atoms:
Au: 0.000 0.000 0.500
Pb: 0.500 0.000 0.000
Si: 0.729 0.459 0.668
Si: 0.271 0.541 0.332

Summary:
The calculation puts the formation energy from raw total energies at 0.166 eV per atom. The electronic total energy is -18.75 eV per cell. The symmetry is C2/m.

[2]
A relaxed Sr2CrPbSe crystal. Source: Alexandria, functional GGA-PBEsol.

Lattice parameters (Å, degrees): 4.786 5.813 5.813 90.00 90.00 90.00
Each line ends with the local moment (μB).
Fractional coordinates of all 5 atoms:
Pb: 0.500 0.500 0.500  -0.08
Sr: 0.000 0.000 0.500  0.02
Sr: 0.000 0.500 0.000  0.02
Se: 0.000 0.000 0.000  -0.01
Cr: 0.500 0.000 0.000  3.87

Summary:
The calculation puts the formation energy from raw total energies at -0.387 eV per atom. The electronic total energy is -23.71 eV per cell. The symmetry is P4/mmm.

[3]
A relaxed Sr2Fe crystal. Source: Alexandria, functional GGA-PBEsol.

Lattice parameters (Å, degrees): 3.842 7.354 7.484 90.00 90.00 90.00
Each line ends with the local moment (μB).
Fractional coordinates of all 6 atoms:
Fe: 0.000 0.000 0.000  2.55
Fe: 0.500 0.500 0.500  2.55
Sr: 0.000 0.234 0.676  -0.05
Sr: 0.000 0.766 0.324  -0.05
Sr: 0.500 0.734 0.824  -0.05
Sr: 0.500 0.266 0.176  -0.05

Summary:
The electronic total energy is -20.99 eV per cell. The symmetry is Pnnm.

[4]
A relaxed Lu2Fe17C3 crystal. Source: Alexandria, functional GGA-PBEsol.

Lattice parameters (Å, degrees): 6.329 6.329 6.329 82.83 82.83 82.83
Each line ends with the local moment (μB).
Fractional coordinates of all 22 atoms:
Lu: 0.342 0.342 0.342  -0.24
Lu: 0.658 0.658 0.658  -0.24
Fe: 0.096 0.096 0.096  2.39
Fe: 0.904 0.904 0.904  2.39
Fe: 0.282 0.000 0.718  1.35
Fe: 0.000 0.718 0.282  1.35
Fe: 0.718 0.282 0.000  1.35
Fe: 0.718 0.000 0.282  1.35
Fe: 0.000 0.282 0.718  1.35
Fe: 0.282 0.718 0.000  1.35
Fe: 0.654 0.654 0.150  1.89
Fe: 0.654 0.150 0.654  1.89
Fe: 0.150 0.654 0.654  1.89
Fe: 0.850 0.346 0.346  1.89
Fe: 0.346 0.850 0.346  1.89
Fe: 0.346 0.346 0.850  1.89
Fe: 0.000 0.500 0.000  2.24
Fe: 0.500 0.000 0.000  2.24
Fe: 0.000 0.000 0.500  2.24
C: 0.500 0.000 0.500  -0.11
C: 0.000 0.500 0.500  -0.11
C: 0.500 0.500 0.000  -0.11

Summary:
The electronic total energy is -193.34 eV per cell. The symmetry is R-3m.

[5]
A relaxed SiMo2Rh crystal. Source: Alexandria, functional GGA-PBEsol.

Lattice parameters (Å, degrees): 3.082 3.082 5.933 90.00 90.00 90.00
Fractional coordinates of all 4 atoms:
Mo: 0.000 0.000 0.992
Mo: 0.500 0.500 0.233
Rh: 0.000 0.000 0.526
Si: 0.500 0.500 0.749

Summary:
The calculation puts the formation energy from raw total energies at -0.223 eV per atom. The electronic total energy is -38.31 eV per cell. The symmetry is P4mm.

[6]
A relaxed ScWN2 crystal. Source: Alexandria, functional GGA-PBEsol.

Lattice parameters (Å, degrees): 3.166 3.166 6.299 75.44 75.44 60.00
Fractional coordinates of all 4 atoms:
Sc: 0.500 0.500 0.500
W: 0.000 0.000 0.000
N: 0.896 0.896 0.311
N: 0.104 0.104 0.689

Summary:
The calculation puts the formation energy from raw total energies at -0.716 eV per atom. The electronic total energy is -40.33 eV per cell. The symmetry is R-3m.

[7]
A relaxed Mg2CdTe crystal. Source: Alexandria, functional GGA-PBEsol.

Lattice parameters (Å, degrees): 3.862 4.923 4.919 90.00 90.00 90.00
Fractional coordinates of all 4 atoms:
Cd: 0.500 0.000 0.500
Mg: 0.000 0.000 0.000
Mg: 0.000 0.500 0.500
Te: 0.500 0.500 0.000

Summary:
The calculation puts the formation energy from raw total energies at -0.201 eV per atom. The electronic total energy is -8.96 eV per cell. The symmetry is P4/mmm.

[8]
A relaxed LiZnRh3 crystal. Source: Alexandria, functional GGA-PBEsol.

Lattice parameters (Å, degrees): 4.520 4.520 4.520 90.00 90.00 90.00
Each line ends with the local moment (μB).
Fractional coordinates of all 5 atoms:
Zn: 0.000 0.000 0.000  0.02
Rh: 0.000 0.500 0.000  0.78
Rh: 0.000 0.000 0.500  0.78
Rh: 0.500 0.000 0.000  0.78
Li: 0.500 0.500 0.500  -0.01

Summary:
The electronic total energy is -22.60 eV per cell. The symmetry is Pm-3m.

- The highest electronic total energy belongs to which entry?
  Mg2CdTe